This record from Alexandria via LeMat-Bulk describes an optimized crystal structure of Mg2Cd2Pd. The functional is GGA-PBE.

a = 7.117 Å, b = 7.117 Å, c = 4.155 Å
α = 90.00°, β = 90.00°, γ = 90.00°
Space group P4/mbm (No. 127)
Inequivalent atoms, fractional coordinates:
Mg1 0.169 0.331 0.000 x4
Cd1 0.140 0.640 0.500 x4
Pd1 0.000 0.000 0.500 x2

## Properties
energy of formation: -0.109 eV per atom
energy relative to the lowest polymorph listed for this composition: 1.23 eV per formula unit

This record from Alexandria via LeMat-Bulk describes an optimized crystal structure of ThScGa2Ir2. The functional is GGA-PBE.

a = 4.4272 Å, b = 4.4272 Å, c = 6.7454 Å
α = 90.00°, β = 90.00°, γ = 120.00°
Space group P-3m1 (No. 164)
Inequivalent atoms, fractional coordinates:
Th1 0.0000 0.0000 0.0000 x1
Sc1 0.0000 0.0000 0.5000 x1
Ga1 0.3333 0.6667 0.3026 x2
Ir1 0.3333 0.6667 0.7247 x2

## Properties
energy of formation: -0.849 eV per atom

This record from Alexandria via LeMat-Bulk describes an optimized crystal structure of Tb2SmAg. The functional is GGA-PBE.

a = 5.006 Å, b = 11.869 Å, c = 7.938 Å
α = 90.00°, β = 90.00°, γ = 90.00°
Space group Cmcm (No. 63)
Inequivalent atoms, fractional coordinates:
Tb1 0.000 0.142 0.035 x8
Sm1 0.000 0.448 0.250 x4
Ag1 0.000 0.294 0.750 x4

## Properties
energy of formation: -0.069 eV per atom
energy relative to the lowest polymorph listed for this composition: 0.24 eV per formula unit

This record from Alexandria via LeMat-Bulk describes an optimized crystal structure of Mg6BiMo. The functional is GGA-PBE.

a = 5.049 Å, b = 6.292 Å, c = 11.006 Å
α = 90.00°, β = 90.00°, γ = 90.00°
Space group Amm2 (No. 38)
Inequivalent atoms, fractional coordinates:
Mg1 0.000 0.000 0.000 x2
Mg2 0.000 0.000 0.483 x2
Mg3 0.000 0.232 0.241 x4
Mg4 0.500 0.246 0.575 x4
Bi1 0.500 0.000 0.828 x2
Mo1 0.500 0.000 0.323 x2

## Properties
energy of formation: 0.193 eV per atom
energy relative to the lowest polymorph listed for this composition: 0.26 eV per formula unit

This record from Alexandria via LeMat-Bulk describes an optimized crystal structure of Pm4NdSm3. The functional is GGA-PBE.

a = 10.300 Å, b = 7.295 Å, c = 7.296 Å
α = 90.00°, β = 90.00°, γ = 90.00°
Space group Pmna (No. 53)
Inequivalent atoms, fractional coordinates:
Pm1 0.000 0.000 0.000 x2
Pm2 0.000 0.500 0.500 x2
Pm3 0.250 0.249 0.250 x4
Nd1 0.000 0.500 0.000 x2
Sm1 0.000 0.000 0.500 x2
Sm2 0.250 0.249 0.750 x4

## Properties
energy of formation: 0.014 eV per atom
energy relative to the lowest polymorph listed for this composition: 0.00 eV per formula unit

This record from Alexandria via LeMat-Bulk describes an optimized crystal structure of PaNiS. The functional is GGA-PBE.

a = 3.7781 Å, b = 3.7781 Å, c = 4.0339 Å
α = 90.00°, β = 90.00°, γ = 120.00°
Space group P-6m2 (No. 187)
Inequivalent atoms, fractional coordinates:
Pa1 0.0000 0.0000 0.0000 x1
Ni1 0.6667 0.3333 0.5000 x1
S1 0.3333 0.6667 0.5000 x1

## Properties
formation energy (no corrections): -0.940 eV/atom
energy relative to the lowest polymorph listed for this composition: 0.00 eV per formula unit